Record 1
Entry from Alexandria: TcMo2Rh after structural relaxation (PBE-GGA).

abc: 9.212 2.756 4.834
angles: 90.00 99.37 90.00
Space group Cm (No. 8)
One atom of each set of equivalent atoms:
Tc 0.000 0.000 0.000
Mo 0.246 0.000 0.760
Mo 0.486 0.000 0.487
Rh 0.240 0.500 0.253

## Properties
Its density of states at the Fermi level is 0.85 states/eV/atom. Its excess energy over the best structure of this formula in the dataset is 17 kJ/mol of formula units. Its energy of formation is 0.12 eV per formula unit.

=====

Record 2
Entry from Alexandria: TcMo2Rh after structural relaxation (PBE-GGA).

abc: 3.952 3.952 3.859
angles: 90.00 90.00 90.00
Space group P4/mmm (No. 123)
One atom of each set of equivalent atoms:
Tc 0.000 0.000 0.000
Mo 0.000 0.500 0.500
Rh 0.500 0.500 0.000

## Properties
Its density of states at the Fermi level is 1.38 states/eV/atom. Its excess energy over the best structure of this formula in the dataset is 0 kJ/mol of formula units. Its energy of formation is -0.05 eV per formula unit.

=====

Record 3
Entry from Alexandria: TcMo2Rh after structural relaxation (PBE-GGA).

abc: 5.577 7.828 2.765
angles: 90.00 90.15 90.00
Space group C2/m (No. 12)
One atom of each set of equivalent atoms:
Tc 0.000 0.000 0.000
Mo 0.250 0.250 0.500
Rh 0.000 0.500 0.000

## Properties
Its density of states at the Fermi level is 1.01 states/eV/atom. Its excess energy over the best structure of this formula in the dataset is 4 kJ/mol of formula units. Its energy of formation is -0.01 eV per formula unit.

=====

Record 4
Entry from Alexandria: TcMo2Rh after structural relaxation (PBE-GGA).

abc: 3.238 3.238 5.875
angles: 90.00 90.00 90.00
Space group P4mm (No. 99)
One atom of each set of equivalent atoms:
Tc 0.000 0.000 0.000
Mo 0.000 0.000 0.495
Mo 0.500 0.500 0.218
Rh 0.500 0.500 0.710

## Properties
Its density of states at the Fermi level is 1.40 states/eV/atom. Its excess energy over the best structure of this formula in the dataset is 56 kJ/mol of formula units. Its energy of formation is 0.53 eV per formula unit.

=====

Record 5
Entry from Alexandria: TcMo2Rh after structural relaxation (PBE-GGA).

abc: 6.258 6.258 6.258
angles: 90.00 90.00 90.00
Space group F-43m (No. 216)
One atom of each set of equivalent atoms:
Tc 0.000 0.000 0.000
Mo 0.000 0.000 0.500
Mo 0.250 0.250 0.750
Rh 0.250 0.250 0.250

## Properties
Its density of states at the Fermi level is 1.68 states/eV/atom. Its excess energy over the best structure of this formula in the dataset is 91 kJ/mol of formula units. Its energy of formation is 0.89 eV per formula unit.

=====

Record 6
Entry from Alexandria: TcMo2Rh2 after structural relaxation (PBE-GGA).

abc: 7.502 7.502 2.749
angles: 90.00 90.00 90.00
Space group P4/mbm (No. 127)
One atom of each set of equivalent atoms:
Tc 0.000 0.000 0.000
Mo 0.173 0.327 0.500
Rh 0.125 0.625 0.000

## Properties
Its density of states at the Fermi level is 0.80 states/eV/atom. Its energy of formation is 0.70 eV per formula unit.

=====

Record 7
Entry from Alexandria: Tc3MoRh after structural relaxation (PBE-GGA).

abc: 4.589 4.589 4.589
angles: 90.00 90.00 90.00
Space group Pm-3m (No. 221)
One atom of each set of equivalent atoms:
Tc 0.000 0.000 0.500
Mo 0.000 0.000 0.000
Rh 0.500 0.500 0.500

## Properties
Its density of states at the Fermi level is 1.34 states/eV/atom. Its excess energy over the best structure of this formula in the dataset is 0 kJ/mol of formula units. Its energy of formation is 9.03 eV per formula unit.

=====

Record 8
Entry from Alexandria: TcMoRh after structural relaxation (PBE-GGA).

abc: 4.3931 4.3931 2.6976
angles: 90.00 90.00 120.00
Space group P-6m2 (No. 187)
One atom of each set of equivalent atoms:
Tc 0.0000 0.0000 0.0000
Mo 0.3333 0.6667 0.0000
Rh 0.6667 0.3333 0.5000

## Properties
Its density of states at the Fermi level is 0.80 states/eV/atom. Its excess energy over the best structure of this formula in the dataset is 31 kJ/mol of formula units. Its energy of formation is 0.12 eV per formula unit.

=====

> Which of these has the lowest energy of formation?

number 2

=====

Copy entry 1 word for word.
Entry from Alexandria: TcMo2Rh after structural relaxation (PBE-GGA).

abc: 9.212 2.756 4.834
angles: 90.00 99.37 90.00
Space group Cm (No. 8)
One atom of each set of equivalent atoms:
Tc 0.000 0.000 0.000
Mo 0.246 0.000 0.760
Mo 0.486 0.000 0.487
Rh 0.240 0.500 0.253

## Properties
Its density of states at the Fermi level is 0.85 states/eV/atom. Its excess energy over the best structure of this formula in the dataset is 17 kJ/mol of formula units. Its energy of formation is 0.12 eV per formula unit.

=====

> Among the records above, which one has the lowest energy of formation?

number 2

=====

> The lowest energy of formation belongs to which entry?

number 2